*a*
AgAsPb | PBE | relaxed

Cell lengths 4.529, 4.529, 8.168 Å; angles 90.00, 90.00, 120.00 degrees
Atoms (fractional coordinates):
Ag  0.333  0.667  0.250
Ag  0.667  0.333  0.750
As  0.333  0.667  0.750
As  0.667  0.333  0.250
Pb  0.000  0.000  0.000
Pb  0.000  0.000  0.500

=====

*b*
AgAsPb | PBE | relaxed

Cell lengths 9.495, 4.731, 6.851 Å; angles 90.00, 90.00, 90.00 degrees
Atoms (fractional coordinates):
Ag  0.050  0.250  0.085
Ag  0.450  0.750  0.585
Ag  0.550  0.250  0.415
Ag  0.950  0.750  0.915
As  0.189  0.750  0.130
As  0.311  0.250  0.630
As  0.689  0.750  0.370
As  0.811  0.250  0.870
Pb  0.133  0.750  0.533
Pb  0.367  0.250  0.033
Pb  0.633  0.750  0.967
Pb  0.867  0.250  0.467

=====

*a* takes first place; second place is 3.0 kJ/mol of atoms up.